(1)
Entry from the Alexandria database: an optimized crystal structure of InBiPb5 (PBE-GGA).

The value obtained for the formation energy is 0.07 eV per atom.

The space group is P4/mmm (No. 123) and the conventional cell measures 4.939, 4.939 and 9.398 Å, with angles of 90.00, 90.00 and 90.00 degrees. The distinct sites, in fractional coordinates, are In at (0.000, 0.000, 0.000), Bi at (0.000, 0.000, 0.500), Pb at (0.000, 0.500, 0.225) and Pb at (0.500, 0.500, 0.500).


(2)
Entry from the Alexandria database: an optimized crystal structure of AcNdIr (PBE-GGA).

The value obtained for the formation energy is -0.53 eV per atom. The excess energy over the best structure of this formula in the dataset comes out at 12.4 meV per atom.

The space group is P3m1 (No. 156) and the conventional cell measures 4.3229, 4.3229 and 6.6963 Å, with angles of 90.00, 90.00 and 120.00 degrees. The distinct sites, in fractional coordinates, are Ac at (0.0000, 0.0000, 0.0000), Nd at (0.6667, 0.3333, 0.4490) and Ir at (0.3333, 0.6667, 0.2369).